Entry 1:
A relaxed structure of HfPIr2N, computed with PBEsol.

The structure belongs to space group P4/mmm (No. 123); the cell edges are 4.886, 4.886 and 3.917 Å and the angles 90.00°, 90.00° and 90.00°. The inequivalent atoms are Hf at (0.000, 0.000, 0.000), P at (0.500, 0.500, 0.500), Ir at (0.000, 0.500, 0.000) and N at (0.000, 0.000, 0.500).

The calculation puts the total energy at -7.317 eV/atom. Its calculated volume is 18.70 Å³ per atom. Its uncorrected formation energy is 1.577 eV per atom.

Entry 2:
A relaxed structure of NaHf2PIr, computed with PBEsol.

The structure belongs to space group P4/mmm (No. 123); the cell edges are 4.826, 4.826 and 4.393 Å and the angles 90.00°, 90.00° and 90.00°. The inequivalent atoms are Na at (0.000, 0.000, 0.000), Hf at (0.000, 0.500, 0.500), P at (0.500, 0.500, 0.500) and Ir at (0.500, 0.500, 0.000).

The energy of formation from the pure elements comes out at 0.103 eV per atom. The calculation puts the total energy at -7.501 eV/atom. Its calculated volume is 20.46 Å³ per atom.

Entry 3:
A relaxed structure of NaHfIrRh2, computed with PBEsol.

The structure belongs to space group P4/mmm (No. 123); the cell edges are 4.278, 4.278 and 4.534 Å and the angles 90.00°, 90.00° and 90.00°. The inequivalent atoms are Na at (0.000, 0.000, 0.000), Hf at (0.000, 0.000, 0.500), Ir at (0.500, 0.500, 0.500) and Rh at (0.000, 0.500, 0.000).

The energy of formation from the pure elements comes out at 1.597 eV per atom. The calculation puts the total energy at -6.003 eV/atom. Its calculated volume is 16.60 Å³ per atom.

Entry 4:
A relaxed structure of Hf2NbSiIr, computed with PBEsol.

The structure belongs to space group P4/mmm (No. 123); the cell edges are 4.712, 4.712 and 4.536 Å and the angles 90.00°, 90.00° and 90.00°. The inequivalent atoms are Hf at (0.000, 0.500, 0.000), Nb at (0.000, 0.000, 0.500), Si at (0.000, 0.000, 0.000) and Ir at (0.500, 0.500, 0.500).

The calculation puts the total energy at -8.909 eV/atom. Its calculated volume is 20.14 Å³ per atom. Its uncorrected formation energy is 0.571 eV per atom.

Entry 5:
A relaxed structure of HfZrNb2Ir, computed with PBEsol.

The structure belongs to space group P4/mmm (No. 123); the cell edges are 4.852, 4.852 and 4.895 Å and the angles 90.00°, 90.00° and 90.00°. The inequivalent atoms are Hf at (0.000, 0.000, 0.000), Zr at (0.500, 0.500, 0.000), Nb at (0.000, 0.500, 0.500) and Ir at (0.500, 0.500, 0.500).

The energy of formation from the pure elements comes out at 0.714 eV per atom. The calculation puts the total energy at -9.498 eV/atom. Its calculated volume is 23.04 Å³ per atom.

Entry 6:
A relaxed structure of Hf2IrRuO, computed with PBEsol.

The structure belongs to space group P4/mmm (No. 123); the cell edges are 4.966, 4.966 and 4.500 Å and the angles 90.00°, 90.00° and 90.00°. The inequivalent atoms are Hf at (0.000, 0.500, 0.000), Ir at (0.000, 0.000, 0.000), Ru at (0.000, 0.000, 0.500) and O at (0.500, 0.500, 0.500).

The calculation puts the total energy at -8.188 eV/atom. Its calculated volume is 22.20 Å³ per atom. Its uncorrected formation energy is 1.063 eV per atom.

Entry 7:
A relaxed structure of HfIr3Os, computed with PBEsol.

The structure belongs to space group Pm-3m (No. 221); the cell edges are 4.653, 4.653 and 4.653 Å and the angles 90.00°, 90.00° and 90.00°. The inequivalent atoms are Hf at (0.000, 0.000, 0.000), Ir at (0.000, 0.000, 0.500) and Os at (0.500, 0.500, 0.500).

The energy of formation from the pure elements comes out at 2.359 eV per atom. The calculation puts the total energy at -8.079 eV/atom. Its calculated volume is 20.14 Å³ per atom.

Entry 8:
A relaxed structure of HfP2Ir, computed with PBEsol.

The structure belongs to space group I-42d (No. 122); the cell edges are 4.158, 4.158 and 15.659 Å and the angles 90.00°, 90.00° and 90.00°. The inequivalent atoms are Hf at (0.000, 0.000, 0.000), P at (0.193, 0.250, 0.625) and Ir at (0.000, 0.000, 0.500).

The energy of formation from the pure elements comes out at -0.470 eV per atom. The calculation puts the total energy at -8.447 eV/atom. Its calculated volume is 16.92 Å³ per atom.

Entry 9:
A relaxed structure of HfP2IrW, computed with PBEsol.

The structure belongs to space group P4/mmm (No. 123); the cell edges are 4.695, 4.695 and 4.750 Å and the angles 90.00°, 90.00° and 90.00°. The inequivalent atoms are Hf at (0.000, 0.000, 0.000), P at (0.000, 0.500, 0.000), Ir at (0.000, 0.000, 0.500) and W at (0.500, 0.500, 0.500).

The energy of formation from the pure elements comes out at 1.627 eV per atom. The calculation puts the total energy at -7.517 eV/atom. Its calculated volume is 20.95 Å³ per atom.

Entry 10:
A relaxed structure of Hf3IrPt, computed with PBEsol.

The structure belongs to space group Pm-3m (No. 221); the cell edges are 4.878, 4.878 and 4.878 Å and the angles 90.00°, 90.00° and 90.00°. The inequivalent atoms are Hf at (0.000, 0.000, 0.500), Ir at (0.000, 0.000, 0.000) and Pt at (0.500, 0.500, 0.500).

The energy of formation from the pure elements comes out at 0.303 eV per atom. The calculation puts the total energy at -9.356 eV/atom. Its calculated volume is 23.22 Å³ per atom. Its polymorph energy (0 for the lowest one) is 0 meV per atom.

Entry 11:
A relaxed structure of Rb2HfIr, computed with PBEsol.

The structure belongs to space group Fm-3m (No. 225); the cell edges are 7.513, 7.513 and 7.513 Å and the angles 90.00°, 90.00° and 90.00°. The inequivalent atoms are Rb at (0.250, 0.250, 0.250), Hf at (0.000, 0.000, 0.000) and Ir at (0.000, 0.000, 0.500).

The energy of formation from the pure elements comes out at 1.909 eV per atom. The calculation puts the total energy at -3.685 eV/atom. Its calculated volume is 26.51 Å³ per atom.

Entry 12:
A relaxed structure of RbHfIrS2, computed with PBEsol.

The structure belongs to space group P4/mmm (No. 123); the cell edges are 4.800, 4.800 and 7.560 Å and the angles 90.00°, 90.00° and 90.00°. The inequivalent atoms are Rb at (0.000, 0.000, 0.000), Hf at (0.000, 0.000, 0.500), Ir at (0.500, 0.500, 0.000) and S at (0.000, 0.500, 0.500).

The calculation puts the total energy at -5.180 eV/atom. Its calculated volume is 34.83 Å³ per atom. Its uncorrected formation energy is 0.844 eV per atom.